No. 1
Below is crystalline Sm3CdCo at its relaxed geometry, with properties calculated at the PBE level.

CIF file:
```
data_Sm3CdCo
_chemical_formula_sum 'Sm3 Cd1 Co1'
_symmetry_space_group_name_H-M 'P 1'
_symmetry_Int_Tables_number 1
_cell_length_a 5.261
_cell_length_b 5.261
_cell_length_c 5.261
_cell_angle_alpha 90.00
_cell_angle_beta 90.00
_cell_angle_gamma 90.00
loop_
_symmetry_equiv_pos_as_xyz
'x,y,z'
loop_
_atom_site_label
_atom_site_type_symbol
_atom_site_fract_x
_atom_site_fract_y
_atom_site_fract_z
_atom_site_occupancy
Co1 Co 0.000 0.000 0.000 1
Sm1 Sm 0.000 0.500 0.000 1
Sm2 Sm 0.000 0.000 0.500 1
Sm3 Sm 0.500 0.000 0.000 1
Cd1 Cd 0.500 0.500 0.500 1
```

Computed properties:
raw total energy: -4.503 eV/atom
energy relative to the lowest polymorph listed for this composition: 2.03 kcal/mol of atoms
formation energy from the elements: -6.5 kJ/mol of atoms



No. 2
Below is crystalline TbSmCdCo at its relaxed geometry, with properties calculated at the PBE level.

CIF file:
```
data_TbSmCdCo
_chemical_formula_sum 'Tb1 Sm1 Cd1 Co1'
_symmetry_space_group_name_H-M 'P 1'
_symmetry_Int_Tables_number 1
_cell_length_a 3.473
_cell_length_b 3.473
_cell_length_c 7.739
_cell_angle_alpha 90.00
_cell_angle_beta 90.00
_cell_angle_gamma 90.00
loop_
_symmetry_equiv_pos_as_xyz
'x,y,z'
loop_
_atom_site_label
_atom_site_type_symbol
_atom_site_fract_x
_atom_site_fract_y
_atom_site_fract_z
_atom_site_occupancy
Tb1 Tb 0.500 0.500 0.359 1
Sm1 Sm 0.500 0.500 0.784 1
Cd1 Cd 0.000 0.000 0.078 1
Co1 Co 0.000 0.000 0.564 1
```

Computed properties:
raw total energy: -4.550 eV/atom
energy relative to the lowest polymorph listed for this composition: 0.00 kcal/mol of atoms
formation energy from the elements: -20.0 kJ/mol of atoms



No. 3
Below is crystalline TbSmCdCo at its relaxed geometry, with properties calculated at the PBE level.

CIF file:
```
data_TbSmCdCo
_chemical_formula_sum 'Tb1 Sm1 Cd1 Co1'
_symmetry_space_group_name_H-M 'P 1'
_symmetry_Int_Tables_number 1
_cell_length_a 5.101
_cell_length_b 5.101
_cell_length_c 5.101
_cell_angle_alpha 60.00
_cell_angle_beta 60.00
_cell_angle_gamma 60.00
loop_
_symmetry_equiv_pos_as_xyz
'x,y,z'
loop_
_atom_site_label
_atom_site_type_symbol
_atom_site_fract_x
_atom_site_fract_y
_atom_site_fract_z
_atom_site_occupancy
Co1 Co 0.250 0.250 0.250 1
Tb1 Tb 0.000 0.000 0.000 1
Sm1 Sm 0.500 0.500 0.500 1
Cd1 Cd 0.750 0.750 0.750 1
```

Computed properties:
raw total energy: -4.446 eV/atom
energy relative to the lowest polymorph listed for this composition: 2.40 kcal/mol of atoms
formation energy from the elements: -10.0 kJ/mol of atoms



No. 4
Below is crystalline Cd2Co2Sn at its relaxed geometry, with properties calculated at the PBE level.

CIF file:
```
data_Cd2Co2Sn
_chemical_formula_sum 'Cd4 Co4 Sn2'
_symmetry_space_group_name_H-M 'P 1'
_symmetry_Int_Tables_number 1
_cell_length_a 6.420
_cell_length_b 6.420
_cell_length_c 4.232
_cell_angle_alpha 90.00
_cell_angle_beta 90.00
_cell_angle_gamma 90.00
loop_
_symmetry_equiv_pos_as_xyz
'x,y,z'
loop_
_atom_site_label
_atom_site_type_symbol
_atom_site_fract_x
_atom_site_fract_y
_atom_site_fract_z
_atom_site_occupancy
Co1 Co 0.371 0.871 0.000 1
Co2 Co 0.871 0.629 0.000 1
Co3 Co 0.629 0.129 0.000 1
Co4 Co 0.129 0.371 0.000 1
Sn1 Sn 0.000 0.000 0.000 1
Sn2 Sn 0.500 0.500 0.000 1
Cd1 Cd 0.164 0.664 0.500 1
Cd2 Cd 0.664 0.836 0.500 1
Cd3 Cd 0.836 0.336 0.500 1
Cd4 Cd 0.336 0.164 0.500 1
```

Computed properties:
raw total energy: -3.846 eV/atom
formation energy from the elements: 15.7 kJ/mol of atoms



No. 5
Below is crystalline CdCoSn4 at its relaxed geometry, with properties calculated at the PBE level.

CIF file:
```
data_CdCoSn4
_chemical_formula_sum 'Cd2 Co2 Sn8'
_symmetry_space_group_name_H-M 'P 1'
_symmetry_Int_Tables_number 1
_cell_length_a 5.676
_cell_length_b 8.202
_cell_length_c 7.861
_cell_angle_alpha 115.81
_cell_angle_beta 103.67
_cell_angle_gamma 103.82
loop_
_symmetry_equiv_pos_as_xyz
'x,y,z'
loop_
_atom_site_label
_atom_site_type_symbol
_atom_site_fract_x
_atom_site_fract_y
_atom_site_fract_z
_atom_site_occupancy
Cd1 Cd 0.387 0.637 0.274 1
Cd2 Cd 0.613 0.363 0.726 1
Co1 Co 0.259 0.009 0.017 1
Co2 Co 0.741 0.991 0.983 1
Sn1 Sn 0.037 0.203 0.867 1
Sn2 Sn 0.811 0.722 0.675 1
Sn3 Sn 0.330 0.664 0.867 1
Sn4 Sn 0.364 0.953 0.675 1
Sn5 Sn 0.636 0.047 0.325 1
Sn6 Sn 0.670 0.336 0.133 1
Sn7 Sn 0.189 0.278 0.325 1
Sn8 Sn 0.963 0.797 0.133 1
```

Computed properties:
raw total energy: -3.971 eV/atom
formation energy from the elements: 3.3 kJ/mol of atoms



No. 6
Below is crystalline Cd2CoSn2 at its relaxed geometry, with properties calculated at the PBE level.

CIF file:
```
data_Cd2CoSn2
_chemical_formula_sum 'Cd4 Co2 Sn4'
_symmetry_space_group_name_H-M 'P 1'
_symmetry_Int_Tables_number 1
_cell_length_a 6.798
_cell_length_b 6.798
_cell_length_c 4.955
_cell_angle_alpha 90.00
_cell_angle_beta 90.00
_cell_angle_gamma 90.00
loop_
_symmetry_equiv_pos_as_xyz
'x,y,z'
loop_
_atom_site_label
_atom_site_type_symbol
_atom_site_fract_x
_atom_site_fract_y
_atom_site_fract_z
_atom_site_occupancy
Co1 Co 0.000 0.000 0.000 1
Co2 Co 0.500 0.500 0.000 1
Sn1 Sn 0.339 0.839 0.000 1
Sn2 Sn 0.839 0.661 0.000 1
Sn3 Sn 0.661 0.161 0.000 1
Sn4 Sn 0.161 0.339 0.000 1
Cd1 Cd 0.163 0.663 0.500 1
Cd2 Cd 0.663 0.837 0.500 1
Cd3 Cd 0.837 0.337 0.500 1
Cd4 Cd 0.337 0.163 0.500 1
```

Computed properties:
raw total energy: -3.129 eV/atom
formation energy from the elements: 25.1 kJ/mol of atoms



No. 7
Below is crystalline CdCoSn2 at its relaxed geometry, with properties calculated at the PBE level.

CIF file:
```
data_CdCoSn2
_chemical_formula_sum 'Cd1 Co1 Sn2'
_symmetry_space_group_name_H-M 'P 1'
_symmetry_Int_Tables_number 1
_cell_length_a 3.375
_cell_length_b 3.375
_cell_length_c 9.282
_cell_angle_alpha 79.53
_cell_angle_beta 79.53
_cell_angle_gamma 60.00
loop_
_symmetry_equiv_pos_as_xyz
'x,y,z'
loop_
_atom_site_label
_atom_site_type_symbol
_atom_site_fract_x
_atom_site_fract_y
_atom_site_fract_z
_atom_site_occupancy
Co1 Co 0.500 0.500 0.500 1
Sn1 Sn 0.104 0.104 0.687 1
Sn2 Sn 0.896 0.896 0.313 1
Cd1 Cd 0.000 0.000 0.000 1
```

Computed properties:
raw total energy: -3.904 eV/atom
formation energy from the elements: 9.9 kJ/mol of atoms



No. 8
Below is crystalline CdCoSn2 at its relaxed geometry, with properties calculated at the PBE level.

CIF file:
```
data_CdCoSn2
_chemical_formula_sum 'Cd2 Co2 Sn4'
_symmetry_space_group_name_H-M 'P 1'
_symmetry_Int_Tables_number 1
_cell_length_a 4.644
_cell_length_b 4.644
_cell_length_c 9.272
_cell_angle_alpha 75.50
_cell_angle_beta 75.50
_cell_angle_gamma 90.00
loop_
_symmetry_equiv_pos_as_xyz
'x,y,z'
loop_
_atom_site_label
_atom_site_type_symbol
_atom_site_fract_x
_atom_site_fract_y
_atom_site_fract_z
_atom_site_occupancy
Co1 Co 0.500 0.500 0.000 1
Co2 Co 0.250 0.750 0.500 1
Sn1 Sn 0.574 0.125 0.250 1
Sn2 Sn 0.176 0.625 0.250 1
Sn3 Sn 0.375 0.426 0.750 1
Sn4 Sn 0.875 0.824 0.750 1
Cd1 Cd 0.000 0.000 0.000 1
Cd2 Cd 0.750 0.250 0.500 1
```

Computed properties:
raw total energy: -3.655 eV/atom
formation energy from the elements: 33.9 kJ/mol of atoms



No. 9
Below is crystalline CdCo2Sn at its relaxed geometry, with properties calculated at the PBE level.

CIF file:
```
data_CdCo2Sn
_chemical_formula_sum 'Cd2 Co4 Sn2'
_symmetry_space_group_name_H-M 'P 1'
_symmetry_Int_Tables_number 1
_cell_length_a 7.040
_cell_length_b 7.040
_cell_length_c 5.701
_cell_angle_alpha 51.87
_cell_angle_beta 51.87
_cell_angle_gamma 90.00
loop_
_symmetry_equiv_pos_as_xyz
'x,y,z'
loop_
_atom_site_label
_atom_site_type_symbol
_atom_site_fract_x
_atom_site_fract_y
_atom_site_fract_z
_atom_site_occupancy
Co1 Co 0.636 0.125 0.250 1
Co2 Co 0.114 0.625 0.250 1
Co3 Co 0.375 0.364 0.750 1
Co4 Co 0.875 0.886 0.750 1
Sn1 Sn 0.000 0.000 0.000 1
Sn2 Sn 0.750 0.250 0.500 1
Cd1 Cd 0.500 0.500 0.000 1
Cd2 Cd 0.250 0.750 0.500 1
```

Computed properties:
raw total energy: -4.194 eV/atom
formation energy from the elements: 56.7 kJ/mol of atoms



No. 10
Below is crystalline SrCd2CoSn at its relaxed geometry, with properties calculated at the PBE level.

CIF file:
```
data_SrCd2CoSn
_chemical_formula_sum 'Sr1 Cd2 Co1 Sn1'
_symmetry_space_group_name_H-M 'P 1'
_symmetry_Int_Tables_number 1
_cell_length_a 5.089
_cell_length_b 5.089
_cell_length_c 4.890
_cell_angle_alpha 90.00
_cell_angle_beta 90.00
_cell_angle_gamma 90.00
loop_
_symmetry_equiv_pos_as_xyz
'x,y,z'
loop_
_atom_site_label
_atom_site_type_symbol
_atom_site_fract_x
_atom_site_fract_y
_atom_site_fract_z
_atom_site_occupancy
Sr1 Sr 0.500 0.500 0.500 1
Co1 Co 0.000 0.000 0.000 1
Sn1 Sn 0.000 0.000 0.500 1
Cd1 Cd 0.000 0.500 0.000 1
Cd2 Cd 0.500 0.000 0.000 1
```

Computed properties:
raw total energy: -3.078 eV/atom
formation energy from the elements: -14.8 kJ/mol of atoms



No. 11
Below is crystalline SrCdCoSn2 at its relaxed geometry, with properties calculated at the PBE level.

CIF file:
```
data_SrCdCoSn2
_chemical_formula_sum 'Sr1 Cd1 Co1 Sn2'
_symmetry_space_group_name_H-M 'P 1'
_symmetry_Int_Tables_number 1
_cell_length_a 4.978
_cell_length_b 4.978
_cell_length_c 5.094
_cell_angle_alpha 90.00
_cell_angle_beta 90.00
_cell_angle_gamma 90.00
loop_
_symmetry_equiv_pos_as_xyz
'x,y,z'
loop_
_atom_site_label
_atom_site_type_symbol
_atom_site_fract_x
_atom_site_fract_y
_atom_site_fract_z
_atom_site_occupancy
Sr1 Sr 0.500 0.500 0.500 1
Co1 Co 0.000 0.000 0.000 1
Sn1 Sn 0.000 0.500 0.000 1
Sn2 Sn 0.500 0.000 0.000 1
Cd1 Cd 0.000 0.000 0.500 1
```

Computed properties:
raw total energy: -3.731 eV/atom
formation energy from the elements: -18.3 kJ/mol of atoms



No. 12
Below is crystalline Tl2CdCoSn at its relaxed geometry, with properties calculated at the PBE level.

CIF file:
```
data_Tl2CdCoSn
_chemical_formula_sum 'Tl2 Cd1 Co1 Sn1'
_symmetry_space_group_name_H-M 'P 1'
_symmetry_Int_Tables_number 1
_cell_length_a 5.138
_cell_length_b 5.138
_cell_length_c 4.919
_cell_angle_alpha 90.00
_cell_angle_beta 90.00
_cell_angle_gamma 90.00
loop_
_symmetry_equiv_pos_as_xyz
'x,y,z'
loop_
_atom_site_label
_atom_site_type_symbol
_atom_site_fract_x
_atom_site_fract_y
_atom_site_fract_z
_atom_site_occupancy
Tl1 Tl 0.000 0.500 0.000 1
Tl2 Tl 0.500 0.000 0.000 1
Co1 Co 0.000 0.000 0.000 1
Sn1 Sn 0.000 0.000 0.500 1
Cd1 Cd 0.500 0.500 0.500 1
```

Computed properties:
raw total energy: -3.192 eV/atom
formation energy from the elements: 15.4 kJ/mol of atoms